1.
Entry from Alexandria: MgCl after structural relaxation (GGA-PBE).

The structure belongs to space group Pm-3m (No. 221); the cell edges are 3.5463, 3.5463 and 3.5463 Å and the angles 90.00°, 90.00° and 90.00°. The distinct sites, in fractional coordinates, are Mg at (0.0000, 0.0000, 0.0000) and Cl at (0.5000, 0.5000, 0.5000).

2.
Entry from Alexandria: MgCl4 after structural relaxation (GGA-PBE).

The structure belongs to space group C2/m (No. 12); the cell edges are 6.4870, 3.7476 and 11.3938 Å and the angles 90.00°, 91.02° and 90.00°. The distinct sites, in fractional coordinates, are Mg at (0.0000, 0.0000, 0.0000), Cl at (0.0506, 0.5000, 0.4180) and Cl at (0.1705, 0.5000, 0.1180).

Number 1: total moment 0.00 μB per cell, ΔE_f (raw) -1.14 eV/f.u.. Number 2: total moment 0.00 μB per cell, ΔE_f (raw) -5.43 eV/f.u..